# 1
## HgRuF6 (PBE)

Data for an optimized crystal structure of HgRuF6.

Cell: 5.5003 5.6828 5.0796 Å, 55.99 82.17 75.91°
Fractional coordinates of all 8 atoms:
Hg1 0.0000 0.0000 0.0000
Ru1 0.5000 0.5000 0.0000
F1 0.7309 0.4492 0.6965
F2 0.7309 0.1457 0.3035
F3 0.2691 0.8543 0.6965
F4 0.2691 0.5508 0.3035
F5 0.6993 0.7299 0.0000
F6 0.3007 0.2701 0.0000

Summary:
**DOS(E_F)**: 0.01 states/eV per cell
**Energy relative to the elements, uncorrected**: -1.61 eV per atom
**Space-group type**: C2/m, No. 12
**Calculated total energy**: -33.7 eV/cell

# 2
## Mg2PdAuC (PBE)

Data for an optimized crystal structure of Mg2PdAuC.

Cell: 4.3822 4.1648 4.3822 Å, 90.00 90.00 90.00°
Fractional coordinates of all 5 atoms:
Mg1 0.0000 0.0000 0.5000
Mg2 0.5000 0.0000 0.0000
Au1 0.0000 0.5000 0.0000
C1 0.0000 0.0000 0.0000
Pd1 0.5000 0.5000 0.5000

Summary:
**DFT formation energy**: 0.734 eV per formula unit
**DOS(E_F)**: 3.31 states/eV per cell
**Space-group type**: P4/mmm, No. 123
**Calculated total energy**: -20.1 eV/cell

# 3
## Ta2O (PBE)

Data for an optimized crystal structure of Ta2O.

Cell: 6.5195 6.5195 6.5195 Å, 109.47 109.47 109.47°
Fractional coordinates of all 12 atoms:
Ta1 0.0000 0.5703 0.0000
Ta2 0.0000 0.0000 0.5703
Ta3 0.5703 0.0000 0.0000
Ta4 0.4297 0.4297 0.4297
Ta5 0.5000 0.0000 0.5000
Ta6 0.5000 0.5000 0.0000
Ta7 0.0000 0.5000 0.5000
Ta8 0.0000 0.0000 0.0000
O1 0.7119 0.7119 0.7119
O2 0.2881 0.0000 0.0000
O3 0.0000 0.0000 0.2881
O4 0.0000 0.2881 0.0000

Summary:
**DOS(E_F)**: 15.53 states/eV per cell
**Energy relative to the elements, uncorrected**: 0.45 eV per atom
**Space-group type**: I-43m, No. 217
**Calculated total energy**: -109.3 eV/cell

# 4
## Li2YAu3 (PBE)

Data for an optimized crystal structure of Li2YAu3.

Cell: 4.4793 4.4793 12.9547 Å, 90.00 90.00 120.00°
Fractional coordinates of all 12 atoms:
Li1 0.6667 0.3333 0.4305
Li2 0.3333 0.6667 0.5695
Li3 0.3333 0.6667 0.9305
Li4 0.6667 0.3333 0.0695
Y1 0.0000 0.0000 0.2500
Y2 0.0000 0.0000 0.7500
Au1 0.0000 0.0000 0.5000
Au2 0.0000 0.0000 0.0000
Au3 0.6667 0.3333 0.6322
Au4 0.3333 0.6667 0.1322
Au5 0.6667 0.3333 0.8678
Au6 0.3333 0.6667 0.3678

Summary:
**DFT formation energy**: -3.910 eV per formula unit
**DOS(E_F)**: 6.75 states/eV per cell
**Space-group type**: P6_3/mmc, No. 194
**Calculated total energy**: -48.1 eV/cell

# 5
## Ge2TePd2 (PBE)

Data for an optimized crystal structure of Ge2TePd2.

Cell: 4.3302 4.3302 6.0569 Å, 69.06 69.06 90.00°
Fractional coordinates of all 5 atoms:
Ge1 0.3797 0.3797 0.2405
Ge2 0.6203 0.6203 0.7595
Te1 0.0000 0.0000 0.0000
Pd1 0.7500 0.2500 0.5000
Pd2 0.2500 0.7500 0.5000

Summary:
**DOS(E_F)**: 1.87 states/eV per cell
**Energy relative to the elements, uncorrected**: -0.15 eV per atom
**Space-group type**: I4/mmm, No. 139
**Calculated total energy**: -23.5 eV/cell

# 6
## MnBAsSe2 (PBE)

Data for an optimized crystal structure of MnBAsSe2.

Cell: 4.4334 4.4334 4.1731 Å, 90.00 90.00 90.00°
Fractional coordinates of all 5 atoms:
As1 0.0000 0.0000 0.5000
Mn1 0.5000 0.5000 0.5000
B1 0.0000 0.0000 0.0000
Se1 0.0000 0.5000 0.0000
Se2 0.5000 0.0000 0.0000

Summary:
**DOS(E_F)**: 5.21 states/eV per cell
**Energy relative to the elements, uncorrected**: 1.11 eV per atom
**Space-group type**: P4/mmm, No. 123
**Calculated total energy**: -21.9 eV/cell

# 7
## MnTe8Pd3 (PBE)

Data for an optimized crystal structure of MnTe8Pd3.

Cell: 8.1219 8.1159 8.8333 Å, 133.54 90.00 120.02°
Fractional coordinates of all 12 atoms:
Mn1 0.0000 0.0000 0.0000
Te1 0.2032 0.4063 0.7389
Te2 0.7968 0.5937 0.2611
Te3 0.1957 0.9004 0.7378
Te4 0.7047 0.9004 0.7378
Te5 0.7091 0.4182 0.7473
Te6 0.2909 0.5818 0.2527
Te7 0.2953 0.0996 0.2622
Te8 0.8043 0.0996 0.2622
Pd1 0.5000 0.0000 0.0000
Pd2 0.5000 0.5000 0.0000
Pd3 0.0000 0.5000 0.0000

Summary:
**DOS(E_F)**: 6.52 states/eV per cell
**Energy relative to the elements, uncorrected**: -0.29 eV per atom
**Space-group type**: C2/m, No. 12
**Calculated total energy**: -53.3 eV/cell

# 8
## FeNiCl6 (PBE)

Data for an optimized crystal structure of FeNiCl6.

Cell: 5.9590 5.9557 6.6348 Å, 116.67 98.61 70.52°
Fractional coordinates of all 8 atoms:
Fe1 0.5000 0.5000 0.0000
Ni1 0.0000 0.0000 0.0000
Cl1 0.7316 0.7308 0.0000
Cl2 0.2278 0.9051 0.2644
Cl3 0.2684 0.2692 0.0000
Cl4 0.7722 0.3592 0.2644
Cl5 0.7722 0.0949 0.7356
Cl6 0.2278 0.6408 0.7356

Summary:
**DOS(E_F)**: 0.32 states/eV per cell
**Energy relative to the elements, uncorrected**: -0.54 eV per atom
**Space-group type**: C2/m, No. 12
**Calculated total energy**: -29.6 eV/cell

# 9
## LaSc3Cr (PBE)

Data for an optimized crystal structure of LaSc3Cr.

Cell: 5.1735 5.1735 5.1735 Å, 90.00 90.00 90.00°
Fractional coordinates of all 5 atoms:
Sc1 0.0000 0.5000 0.0000
Sc2 0.0000 0.0000 0.5000
Sc3 0.5000 0.0000 0.0000
Cr1 0.5000 0.5000 0.5000
La1 0.0000 0.0000 0.0000

Summary:
**DFT formation energy**: 5.982 eV per formula unit
**DOS(E_F)**: 4.51 states/eV per cell
**Space-group type**: Pm-3m, No. 221
**Calculated total energy**: -27.6 eV/cell

# 10
## TmVTcRu (PBE)

Data for an optimized crystal structure of TmVTcRu.

Cell: 4.4979 4.4979 4.4979 Å, 60.00 60.00 60.00°
Fractional coordinates of all 4 atoms:
Ru1 0.7500 0.7500 0.7500
Tm1 0.5000 0.5000 0.5000
Tc1 0.2500 0.2500 0.2500
V1 0.0000 0.0000 0.0000

Summary:
**DFT formation energy**: -0.586 eV per formula unit
**DOS(E_F)**: 4.24 states/eV per cell
**Space-group type**: F-43m, No. 216
**Calculated total energy**: -33.8 eV/cell

# 11
## TlAsI3 (PBE)

Data for an optimized crystal structure of TlAsI3.

Cell: 5.8192 5.8192 5.8192 Å, 90.00 90.00 90.00°
Fractional coordinates of all 5 atoms:
I1 0.0000 0.5000 0.0000
I2 0.0000 0.0000 0.5000
I3 0.5000 0.0000 0.0000
Tl1 0.5000 0.5000 0.5000
As1 0.0000 0.0000 0.0000

Summary:
**DOS(E_F)**: 1.55 states/eV per cell
**Energy relative to the elements, uncorrected**: -0.22 eV per atom
**Space-group type**: Pm-3m, No. 221
**Calculated total energy**: -12.8 eV/cell

# 12
## CdBr2N (PBE)

Data for an optimized crystal structure of CdBr2N.

Cell: 5.0291 5.0291 5.0291 Å, 60.00 60.00 60.00°
Fractional coordinates of all 4 atoms:
N1 0.0000 0.0000 0.0000
Br1 0.2500 0.2500 0.2500
Br2 0.7500 0.7500 0.7500
Cd1 0.5000 0.5000 0.5000

Summary:
**DOS(E_F)**: 0.00 states/eV per cell
**Energy relative to the elements, uncorrected**: 0.91 eV per atom
**Space-group type**: Fm-3m, No. 225
**Calculated total energy**: -9.0 eV/cell

no.,spin magnetization (μB per cell)
1,2.00
2,0.00
3,0.02
4,0.00
5,0.00
6,0.00
7,2.86
8,4.01
9,3.81
10,0.00
11,0.00
12,3.00